1.
Material: NaTm5Ru4
Method: DFT, GGA-PBE
State: optimized geometry

Values from the calculation:
* raw total energy: -6.455 eV/atom
* energy of formation from the pure elements: -36.40 kJ per mole of atoms

Unit cell a=3.3654 b=3.3654 c=19.2261 alpha=90.00 beta=90.00 gamma=90.00
Last column: nearest neighbours and their distance in Å.
Atoms (fractional coordinates):
Tm 0.5000 0.5000 0.5000  8 Ru 2.91
Tm 0.5000 0.5000 0.8455  4 Ru 2.81
Ru 0.0000 0.0000 0.7674  8 Tm 2.81-2.99
Ru 0.0000 0.0000 0.4128  8 Tm 2.90-2.91
Ru 0.0000 0.0000 0.5872  8 Tm 2.90-2.91
Na 0.0000 0.0000 0.0000  4 Na 3.37
Ru 0.0000 0.0000 0.2326  8 Tm 2.81-2.99
Tm 0.5000 0.5000 0.3266  8 Ru 2.90-2.99
Tm 0.5000 0.5000 0.1545  4 Ru 2.81
Tm 0.5000 0.5000 0.6734  8 Ru 2.90-2.99



2.
Material: ZrGa2Pt
Method: DFT, GGA-PBE
State: optimized geometry

Values from the calculation:
* raw total energy: -5.855 eV/atom
* energy of formation from the pure elements: -66.99 kJ per mole of atoms

Unit cell a=4.0577 b=4.1089 c=4.1089 alpha=90.00 beta=90.00 gamma=90.00
Last column: nearest neighbours and their distance in Å.
Atoms (fractional coordinates):
Zr 0.5000 0.5000 0.5000  8 Ga 2.89, 4 Pt 2.91
Ga 0.0000 0.0000 0.5000  4 Zr 2.89, 4 Pt 2.89, 4 Ga 2.91
Ga 0.0000 0.5000 0.0000  4 Zr 2.89, 4 Pt 2.89, 4 Ga 2.91
Pt 0.5000 0.0000 0.0000  8 Ga 2.89, 4 Zr 2.91



3.
Material: Ac2Ga3Rh5
Method: DFT, GGA-PBE
State: optimized geometry

Values from the calculation:
* raw total energy: -6.084 eV/atom
* energy of formation from the pure elements: -65.42 kJ per mole of atoms

Unit cell a=6.1805 b=8.5766 c=8.5766 alpha=75.76 beta=68.88 gamma=68.88
Last column: nearest neighbours and their distance in Å.
Atoms (fractional coordinates):
Rh 0.7500 0.5000 0.5000  4 Ga 2.48
Ga 0.8678 0.7379 0.5264  5 Rh 2.48-2.52
Ac 0.3713 0.8703 0.3871  8 Rh 3.03-3.36, 1 Ga 3.30
Ga 0.3678 0.5264 0.7379  5 Rh 2.48-2.52
Ac 0.6287 0.1297 0.6129  8 Rh 3.03-3.36, 1 Ga 3.30
Rh 0.2500 0.5000 0.5000  4 Ga 2.48
Ga 0.2500 0.0000 0.0000  6 Rh 2.60-2.78
Rh 0.5191 0.2309 0.2309  3 Ga 2.52-2.78, 2 Rh 2.71
Ga 0.6322 0.4736 0.2621  5 Rh 2.48-2.52
Ac 0.1287 0.6129 0.1297  8 Rh 3.03-3.36, 1 Ga 3.30
Rh 0.6066 0.7367 0.0500  3 Ga 2.52-2.60, 2 Rh 2.71
Rh 0.1066 0.0500 0.7367  3 Ga 2.52-2.60, 2 Rh 2.71
Rh 0.9809 0.7691 0.7691  3 Ga 2.52-2.78, 2 Rh 2.71
Rh 0.3934 0.2633 0.9500  3 Ga 2.52-2.60, 2 Rh 2.71
Ac 0.8713 0.3871 0.8703  8 Rh 3.03-3.36, 1 Ga 3.30
Rh 0.8934 0.9500 0.2633  3 Ga 2.52-2.60, 2 Rh 2.71
Rh 0.0191 0.2309 0.2309  3 Ga 2.52-2.78, 2 Rh 2.71
Ga 0.1322 0.2621 0.4736  5 Rh 2.48-2.52
Rh 0.4809 0.7691 0.7691  3 Ga 2.52-2.78, 2 Rh 2.71
Ga 0.7500 0.0000 0.0000  6 Rh 2.60-2.78



4.
Material: TiSbTe2Ir
Method: DFT, GGA-PBE
State: optimized geometry

Values from the calculation:
* raw formation energy: 0.8854 eV/atom
* raw total energy: -4.547 eV/atom
* distance to the lowest polymorph of the same formula: 0.272 eV per atom

Unit cell a=5.1304 b=5.1304 c=5.1810 alpha=90.00 beta=90.00 gamma=90.00
Last column: nearest neighbours and their distance in Å.
Atoms (fractional coordinates):
Sb 0.0000 0.0000 0.5000  2 Ti 2.59
Te 0.5000 0.0000 0.0000  2 Ti 2.57
Te 0.0000 0.5000 0.0000  2 Ti 2.57
Ir 0.5000 0.5000 0.5000  4 Sb 3.63, 8 Te 3.65
Ti 0.0000 0.0000 0.0000  4 Te 2.57, 2 Sb 2.59



5.
Material: Be3NiI
Method: DFT, GGA-PBE
State: optimized geometry

Values from the calculation:
* raw formation energy: 2.0255 eV/atom
* raw total energy: -1.676 eV/atom
* distance to the lowest polymorph of the same formula: 1.308 eV per atom

Unit cell a=4.6562 b=4.6562 c=4.6562 alpha=90.00 beta=90.00 gamma=90.00
Last column: nearest neighbours and their distance in Å.
Atoms (fractional coordinates):
Be 0.0000 0.0000 0.5000  2 I 2.33
I 0.0000 0.0000 0.0000  6 Be 2.33
Be 0.5000 0.0000 0.0000  2 I 2.33
Be 0.0000 0.5000 0.0000  2 I 2.33
Ni 0.5000 0.5000 0.5000  12 Be 3.29



6.
Material: SmDyBi
Method: DFT, GGA-PBE
State: optimized geometry

Values from the calculation:
* raw total energy: -4.679 eV/atom
* energy of formation from the pure elements: -26.83 kJ per mole of atoms

Unit cell a=4.0621 b=5.2240 c=5.2240 alpha=120.00 beta=90.00 gamma=90.00
Last column: nearest neighbours and their distance in Å.
Atoms (fractional coordinates):
Bi 0.0520 0.0000 0.0000  3 Dy 3.11, 3 Sm 3.32
Sm 0.7088 0.3333 0.6667  3 Bi 3.32, 6 Dy 3.57-3.71
Dy 0.2392 0.6667 0.3333  3 Bi 3.11



Question: What is the raw total energy in the second record?
Answer: -5.855 eV/atom